Record 1
Sm2PuPt, optimized geometry, DFT GGA-PBE; E above lowest polymorph = 0.000 eV/atom; mass density = 11.29 g/cm3; symmetry = P4/mmm; E_form = -441 meV per atom
1.0
3.600 0.000 0.000
0.000 3.600 0.000
0.000 0.000 8.396
Sm Pu Pt
2 1 1
Cartesian
0.000 0.000 1.695
0.000 0.000 6.701
1.800 1.800 4.198
1.800 1.800 0.000

Record 2
La2Sn3GePd4, optimized geometry, DFT GGA-PBE; mass density = 8.39 g/cm3; symmetry = P-4m2; E_form = -807 meV per atom
1.0
4.605 0.000 0.000
0.000 4.605 0.000
0.000 0.000 10.566
La Sn Ge Pd
2 3 1 4
Cartesian
0.000 2.302 2.597
2.302 0.000 7.970
0.000 0.000 0.000
0.000 2.302 6.652
2.302 0.000 3.915
2.302 2.302 0.000
0.000 0.000 5.283
0.000 2.302 9.280
2.302 0.000 1.286
2.302 2.302 5.283

Record 3
ScTlZn3, optimized geometry, DFT GGA-PBE; E above lowest polymorph = 0.000 eV/atom; mass density = 4.92 g/cm3; symmetry = Pm-3m; E_form = 634 meV per atom
1.0
5.318 0.000 0.000
0.000 5.318 0.000
0.000 0.000 5.318
Sc Tl Zn
1 1 3
Cartesian
0.000 0.000 0.000
2.659 2.659 2.659
0.000 0.000 2.659
0.000 2.659 0.000
2.659 0.000 0.000

Record 4
Be2ReRu2, optimized geometry, DFT GGA-PBE; E above lowest polymorph = 0.000 eV/atom; mass density = 11.71 g/cm3; symmetry = P4/mbm; E_form = -217 meV per atom
1.0
6.331 0.000 0.000
0.000 6.331 0.000
0.000 0.000 2.875
Be Re Ru
4 2 4
Cartesian
0.805 2.361 0.000
2.361 5.526 0.000
3.970 0.805 0.000
5.526 3.970 0.000
0.000 0.000 0.000
3.165 3.165 0.000
1.044 4.210 1.437
2.121 1.044 1.437
4.210 5.287 1.437
5.287 2.121 1.437

Record 5
CaPdC, optimized geometry, DFT GGA-PBE; E above lowest polymorph = 0.012 eV/atom; mass density = 4.67 g/cm3; symmetry = P2/m; E_form = -272 meV per atom
1.0
4.791 0.000 0.000
0.000 3.713 0.000
-0.213 0.000 6.338
Ca Pd C
2 2 2
Cartesian
1.052 0.000 1.634
3.527 0.000 4.704
1.298 1.857 4.137
3.281 1.857 2.201
0.173 1.857 5.830
4.406 1.857 0.508

Record 6
Ba2SrTa, optimized geometry, DFT GGA-PBE; E above lowest polymorph = 0.263 eV/atom; mass density = 5.12 g/cm3; symmetry = I-42d; E_form = 1093 meV per atom
1.0
-4.941 4.941 3.612
4.941 -4.941 3.612
4.941 4.941 -3.612
Ba Sr Ta
4 2 2
Cartesian
7.411 2.000 -0.903
2.000 2.470 0.903
-2.470 2.940 2.709
2.940 2.470 4.515
4.941 0.000 1.806
0.000 0.000 3.612
0.000 0.000 0.000
0.000 4.941 1.806

Record 7
PmSm2Dy5Y, optimized geometry, DFT GGA-PBE; mass density = 7.58 g/cm3; symmetry = I4/mcm; E_form = 273 meV per atom
1.0
-4.375 4.375 7.705
4.375 -4.375 7.705
4.375 4.375 -7.705
Pm Sm Dy Y
2 4 10 2
Cartesian
0.000 0.000 3.852
0.000 0.000 11.557
5.391 1.016 0.000
1.016 3.359 0.000
3.359 1.016 7.705
-1.016 3.359 7.705
0.000 0.000 0.000
2.539 1.835 -2.108
2.539 -1.835 5.597
2.539 1.835 2.108
2.539 -1.835 9.813
0.000 0.000 7.705
1.835 6.210 -2.108
1.835 2.539 5.597
1.835 6.210 2.108
1.835 2.539 9.813
4.375 0.000 3.852
0.000 4.375 3.852

Record 8
YHfSc2H, optimized geometry, DFT GGA-PBE; E above lowest polymorph = 0.000 eV/atom; mass density = 5.94 g/cm3; symmetry = P4/mmm
1.0
4.624 0.000 0.000
0.000 4.624 0.000
0.000 0.000 4.686
Y Hf Sc H
1 1 2 1
Cartesian
0.000 0.000 0.000
2.312 2.312 0.000
0.000 2.312 2.343
2.312 0.000 2.343
0.000 0.000 2.343